DFT (PBE) results for a geometry-optimized LiAgPb structure.

The magnetization is 0.000 μB per formula unit. The density of states at the Fermi level is 0.210 states/eV per atom. The energy above the most stable polymorph in this dataset is 0.00 kcal/mol of atoms. As for the formation energy: -0.150 eV per atom.

The structure belongs to space group P2_1/m (No. 11); the cell edges are 4.362, 4.310 and 7.048 Å and the angles 90.00°, 106.10° and 90.00°. The asymmetric unit holds Li at (0.114, 0.250, 0.203), Ag at (0.248, 0.750, 0.494) and Pb at (0.393, 0.250, 0.815).



DFT (PBE) results for a geometry-optimized Mn2VAgMo structure.

The magnetization is 5.793 μB per formula unit. The density of states at the Fermi level is 1.021 states/eV per atom. As for the formation energy: 1.125 eV per atom.

The structure belongs to space group P4/mmm (No. 123); the cell edges are 4.533, 4.533 and 4.415 Å and the angles 90.00°, 90.00° and 90.00°. The asymmetric unit holds Mn at (0.000, 0.500, 0.000), V at (0.000, 0.000, 0.000), Ag at (0.500, 0.500, 0.500) and Mo at (0.000, 0.000, 0.500).



DFT (PBE) results for a geometry-optimized Pm5Sm4Co2 structure.

The magnetization is 0.000 μB per formula unit. The density of states at the Fermi level is 1.475 states/eV per atom. As for the formation energy: 0.044 eV per atom.

The structure belongs to space group P2/m (No. 10); the cell edges are 9.038, 3.608 and 10.081 Å and the angles 90.00°, 93.16° and 90.00°. The asymmetric unit holds Pm at (0.000, 0.000, 0.000), Pm at (0.028, 0.000, 0.334), Pm at (0.343, 0.000, 0.850), Sm at (0.316, 0.500, 0.533), Sm at (0.323, 0.500, 0.179) and Co at (0.461, 0.000, 0.355).



Q: magnetization of number 3 (Pm5Sm4Co2)?
A: 0.000 μB per formula unit



What did the third record say?
DFT (PBE) results for a geometry-optimized Pm5Sm4Co2 structure.

The magnetization is 0.000 μB per formula unit. The density of states at the Fermi level is 1.475 states/eV per atom. As for the formation energy: 0.044 eV per atom.

The structure belongs to space group P2/m (No. 10); the cell edges are 9.038, 3.608 and 10.081 Å and the angles 90.00°, 93.16° and 90.00°. The asymmetric unit holds Pm at (0.000, 0.000, 0.000), Pm at (0.028, 0.000, 0.334), Pm at (0.343, 0.000, 0.850), Sm at (0.316, 0.500, 0.533), Sm at (0.323, 0.500, 0.179) and Co at (0.461, 0.000, 0.355).